one) # GGA-PBE PrBiO, relaxed
# Magnetic moment: 0.000 μB per atom
# Density of states at the Fermi level: 0.5 states/eV/f.u.
data_PrBiO
_cell_length_a 3.8849
_cell_length_b 3.8849
_cell_length_c 6.2367
_cell_angle_alpha 90.00
_cell_angle_beta 90.00
_cell_angle_gamma 120.00
_symmetry_space_group_name_H-M 'P 3 m 1'
_symmetry_Int_Tables_number 156
loop_
_symmetry_equiv_pos_as_xyz
'x,y,z'
'-y,x-y,z'
'-x+y,-x,z'
'-y,-x,z'
'-x+y,y,z'
'x,x-y,z'
loop_
_atom_site_label
_atom_site_fract_x
_atom_site_fract_y
_atom_site_fract_z
_atom_site_occupancy
Pr1 0.0000 0.0000 0.0000 1
Bi1 0.6667 0.3333 0.4987 1
O1 0.3333 0.6667 0.9974 1

two) # GGA-PBE PrBiO, relaxed
# Magnetic moment: 0.000 μB per atom
# Density of states at the Fermi level: 1.2 states/eV/f.u.
data_PrBiO
_cell_length_a 4.0082
_cell_length_b 4.0082
_cell_length_c 10.8669
_cell_angle_alpha 90.00
_cell_angle_beta 90.00
_cell_angle_gamma 120.00
_symmetry_space_group_name_H-M 'P -3 m 1'
_symmetry_Int_Tables_number 164
_symmetry_space_group_name_Hall '-P 3 2"'
loop_
_atom_site_label
_atom_site_fract_x
_atom_site_fract_y
_atom_site_fract_z
_atom_site_occupancy
Pr1 0.3333 0.6667 0.3605 1
Bi1 0.3333 0.6667 0.8997 1
O1 0.3333 0.6667 0.5840 1

The most stable of them is two).

one) # GGA-PBE Bi2PtO6, relaxed
# Magnetic moment: 0.000 μB per atom
# Density of states at the Fermi level: 6.0 states/eV/f.u.
data_Bi2PtO6
_cell_length_a 3.8709
_cell_length_b 5.3968
_cell_length_c 11.2921
_cell_angle_alpha 90.00
_cell_angle_beta 90.00
_cell_angle_gamma 90.00
_symmetry_space_group_name_H-M 'I m m m'
_symmetry_Int_Tables_number 71
_symmetry_space_group_name_Hall '-I 2 2'
loop_
_atom_site_label
_atom_site_fract_x
_atom_site_fract_y
_atom_site_fract_z
_atom_site_occupancy
Bi1 0.0000 0.0000 0.1630 1
Pt1 0.0000 0.0000 0.5000 1
O1 0.0000 0.2379 0.3543 1
O2 0.0000 0.2851 0.0000 1

two) # GGA-PBE Bi2PtO6, relaxed
# Magnetic moment: 0.000 μB per atom
# Density of states at the Fermi level: 4.9 states/eV/f.u.
data_Bi2PtO6
_cell_length_a 9.7637
_cell_length_b 3.3436
_cell_length_c 7.8000
_cell_angle_alpha 90.00
_cell_angle_beta 94.34
_cell_angle_gamma 90.00
_symmetry_space_group_name_H-M 'C 1 2/m 1'
_symmetry_Int_Tables_number 12
loop_
_symmetry_equiv_pos_as_xyz
'x,y,z'
'-x,-y,-z'
'-x,y,-z'
'x,-y,z'
'x+1/2,y+1/2,z'
'-x+1/2,-y+1/2,-z'
'-x+1/2,y+1/2,-z'
'x+1/2,-y+1/2,z'
loop_
_atom_site_label
_atom_site_fract_x
_atom_site_fract_y
_atom_site_fract_z
_atom_site_occupancy
Bi1 0.2348 0.0000 0.2992 1
Pt1 0.0000 0.5000 0.0000 1
O1 0.0734 0.5000 0.2420 1
O2 0.1214 0.0000 0.9674 1
O3 0.1540 0.0000 0.5581 1

The most stable of them is two).

one) # GGA-PBE BiPtO4, relaxed
# Magnetic moment: 0.000 μB per atom
# Density of states at the Fermi level: 2.3 states/eV/f.u.
data_BiPtO4
_cell_length_a 6.9147
_cell_length_b 7.0510
_cell_length_c 3.3681
_cell_angle_alpha 90.00
_cell_angle_beta 90.00
_cell_angle_gamma 90.00
_symmetry_space_group_name_H-M 'C m m m'
_symmetry_Int_Tables_number 65
_symmetry_space_group_name_Hall '-C 2 2'
loop_
_atom_site_label
_atom_site_fract_x
_atom_site_fract_y
_atom_site_fract_z
_atom_site_occupancy
Bi1 0.0000 0.0000 0.0000 1
Pt1 0.0000 0.5000 0.5000 1
O1 0.0000 0.3280 0.0000 1
O2 0.2113 0.0000 0.5000 1

two) # GGA-PBE BiPtO4, relaxed
# Magnetic moment: 0.000 μB per atom
# Density of states at the Fermi level: 2.5 states/eV/f.u.
data_BiPtO4
_cell_length_a 6.9371
_cell_length_b 6.9371
_cell_length_c 6.7483
_cell_angle_alpha 90.00
_cell_angle_beta 90.00
_cell_angle_gamma 90.00
_symmetry_space_group_name_H-M 'I 41 m d'
_symmetry_Int_Tables_number 109
_symmetry_space_group_name_Hall 'I 4bw -2'
loop_
_atom_site_label
_atom_site_fract_x
_atom_site_fract_y
_atom_site_fract_z
_atom_site_occupancy
Bi1 0.0000 0.0000 0.0000 1
Pt1 0.0000 0.0000 0.4967 1
O1 0.0000 0.1851 0.2705 1
O2 0.0000 0.1989 0.7339 1

The most stable of them is one).

one) # GGA-PBE BiPt3O8, relaxed
# Magnetic moment: 0.000 μB per atom
# Density of states at the Fermi level: 8.2 states/eV/f.u.
data_BiPt3O8
_cell_length_a 5.6580
_cell_length_b 5.6580
_cell_length_c 5.8704
_cell_angle_alpha 90.00
_cell_angle_beta 90.00
_cell_angle_gamma 120.00
_symmetry_space_group_name_H-M 'P -3'
_symmetry_Int_Tables_number 147
loop_
_symmetry_equiv_pos_as_xyz
'x,y,z'
'-x,-y,-z'
'-y,x-y,z'
'y,-x+y,-z'
'-x+y,-x,z'
'x-y,x,-z'
loop_
_atom_site_label
_atom_site_fract_x
_atom_site_fract_y
_atom_site_fract_z
_atom_site_occupancy
Bi1 0.0000 0.0000 0.0000 1
Pt1 0.0000 0.0000 0.5000 1
Pt2 0.3333 0.6667 0.5590 1
O1 0.0661 0.3565 0.3454 1
O2 0.3333 0.6667 0.8830 1

two) # GGA-PBE BiPt3O8, relaxed
# Magnetic moment: 0.000 μB per atom
# Density of states at the Fermi level: 3.7 states/eV/f.u.
data_BiPt3O8
_cell_length_a 6.3009
_cell_length_b 6.3009
_cell_length_c 9.8904
_cell_angle_alpha 90.00
_cell_angle_beta 90.00
_cell_angle_gamma 120.00
_symmetry_space_group_name_H-M 'P 63 m c'
_symmetry_Int_Tables_number 186
_symmetry_space_group_name_Hall 'P 6c -2c'
loop_
_atom_site_label
_atom_site_fract_x
_atom_site_fract_y
_atom_site_fract_z
_atom_site_occupancy
Bi1 0.3333 0.6667 0.0000 1
Pt1 0.1674 0.3349 0.7107 1
O1 0.0000 0.0000 0.3076 1
O2 0.0361 0.5181 0.8192 1
O3 0.1465 0.2931 0.1001 1
O4 0.3333 0.6667 0.6121 1

The most stable of them is two).